(1)
Computed, not measured: an optimized crystal structure of NaTe2Se4 at the PBE level of DFT.

a = 4.300 Å, b = 7.044 Å, c = 7.558 Å
α = 71.20°, β = 89.30°, γ = 84.46°
Element x y z (fractional)
Na (0.000, 0.000, 0.000)
Te (0.000, 0.500, 0.500)
Te (0.500, 0.000, 0.500)
Se (0.022, 0.758, 0.715)
Se (0.460, 0.242, 0.732)
Se (0.540, 0.758, 0.268)
Se (0.978, 0.242, 0.285)

Formation energy without anion corrections: -0.22 eV per atom
E: -23.08 eV/cell
ρ: 4.6 Mg/m³



(2)
Computed, not measured: an optimized crystal structure of Na4TeSe at the PBE level of DFT.

a = 5.000 Å, b = 5.000 Å, c = 7.151 Å
α = 90.00°, β = 90.00°, γ = 90.00°
Element x y z (fractional)
Na (0.000, 0.500, 0.237)
Na (0.000, 0.500, 0.763)
Na (0.500, 0.000, 0.237)
Na (0.500, 0.000, 0.763)
Te (0.000, 0.000, 0.500)
Se (0.500, 0.500, 0.000)

Formation energy without anion corrections: -0.99 eV per atom
E: -17.84 eV/cell
ρ: 2.8 Mg/m³



(3)
Computed, not measured: an optimized crystal structure of Na4TeSe2 at the PBE level of DFT.

a = 6.738 Å, b = 6.461 Å, c = 9.642 Å
α = 90.00°, β = 108.83°, γ = 90.00°
Element x y z (fractional)
Na (0.024, 0.250, 0.339)
Na (0.073, 0.250, 0.926)
Na (0.466, 0.006, 0.787)
Na (0.466, 0.494, 0.787)
Na (0.534, 0.506, 0.213)
Na (0.534, 0.994, 0.213)
Na (0.927, 0.750, 0.074)
Na (0.976, 0.750, 0.661)
Te (0.321, 0.750, 0.440)
Te (0.679, 0.250, 0.560)
Se (0.091, 0.250, 0.640)
Se (0.264, 0.750, 0.960)
Se (0.736, 0.250, 0.040)
Se (0.909, 0.750, 0.360)

Formation energy without anion corrections: -0.77 eV per atom
E: -41.56 eV/cell
ρ: 3.2 Mg/m³



(4)
Computed, not measured: an optimized crystal structure of Na3TeSe at the PBE level of DFT.

a = 5.474 Å, b = 5.474 Å, c = 5.474 Å
α = 90.00°, β = 90.00°, γ = 90.00°
Element x y z (fractional)
Na (0.000, 0.000, 0.500)
Na (0.000, 0.500, 0.000)
Na (0.500, 0.000, 0.000)
Te (0.500, 0.500, 0.500)
Se (0.000, 0.000, 0.000)

Energy above the lowest structure with this stoichiometry: 0.86 eV/f.u.
Formation energy without anion corrections: -0.68 eV per atom
E: -13.98 eV/cell
ρ: 2.8 Mg/m³



(5)
Computed, not measured: an optimized crystal structure of NaTe2Se2 at the PBE level of DFT.

a = 8.356 Å, b = 8.356 Å, c = 4.004 Å
α = 90.00°, β = 90.00°, γ = 90.00°
Element x y z (fractional)
Na (0.000, 0.000, 0.000)
Na (0.500, 0.500, 0.000)
Te (0.143, 0.357, 0.000)
Te (0.357, 0.857, 0.000)
Te (0.643, 0.143, 0.000)
Te (0.857, 0.643, 0.000)
Se (0.191, 0.691, 0.500)
Se (0.309, 0.191, 0.500)
Se (0.691, 0.809, 0.500)
Se (0.809, 0.309, 0.500)

Energy above the lowest structure with this stoichiometry: 0.38 eV/f.u.
Formation energy without anion corrections: -0.13 eV per atom
E: -30.44 eV/cell
ρ: 5.2 Mg/m³



(6)
Computed, not measured: an optimized crystal structure of Na2TeSe at the PBE level of DFT.

a = 6.669 Å, b = 6.669 Å, c = 6.669 Å
α = 101.72°, β = 101.72°, γ = 126.43°
Element x y z (fractional)
Na (0.092, 0.125, 0.467)
Na (0.375, 0.908, 0.033)
Na (0.658, 0.625, 0.533)
Na (0.875, 0.342, 0.967)
Te (0.250, 0.750, 0.500)
Te (0.500, 0.500, 0.000)
Se (0.000, 0.000, 0.000)
Se (0.750, 0.250, 0.500)

Energy above the lowest structure with this stoichiometry: 0.41 eV/f.u.
Formation energy without anion corrections: -0.63 eV per atom
E: -23.59 eV/cell
ρ: 3.9 Mg/m³



(7)
Computed, not measured: an optimized crystal structure of Na2Te2Se5 at the PBE level of DFT.

a = 8.726 Å, b = 8.726 Å, c = 6.075 Å
α = 105.78°, β = 105.78°, γ = 38.39°
Element x y z (fractional)
Na (0.137, 0.137, 0.422)
Na (0.863, 0.863, 0.578)
Te (0.342, 0.342, 0.094)
Te (0.658, 0.658, 0.906)
Se (0.160, 0.160, 0.952)
Se (0.388, 0.388, 0.541)
Se (0.500, 0.500, 0.000)
Se (0.612, 0.612, 0.459)
Se (0.840, 0.840, 0.048)

Formation energy without anion corrections: -0.32 eV per atom
E: -29.21 eV/cell
ρ: 4.2 Mg/m³



(8)
Computed, not measured: an optimized crystal structure of Na2TeSe at the PBE level of DFT.

a = 6.979 Å, b = 8.877 Å, c = 7.205 Å
α = 90.00°, β = 90.00°, γ = 90.00°
Element x y z (fractional)
Na (0.229, 0.068, 0.043)
Na (0.229, 0.432, 0.043)
Na (0.271, 0.568, 0.543)
Na (0.271, 0.932, 0.543)
Na (0.729, 0.068, 0.457)
Na (0.729, 0.432, 0.457)
Na (0.771, 0.568, 0.957)
Na (0.771, 0.932, 0.957)
Te (0.088, 0.250, 0.639)
Te (0.412, 0.750, 0.139)
Te (0.588, 0.250, 0.861)
Te (0.912, 0.750, 0.361)
Se (0.139, 0.750, 0.879)
Se (0.361, 0.250, 0.379)
Se (0.639, 0.750, 0.621)
Se (0.861, 0.250, 0.121)

Energy above the lowest structure with this stoichiometry: 0.00 eV/f.u.
Formation energy without anion corrections: -0.74 eV per atom
E: -48.82 eV/cell
ρ: 3.8 Mg/m³